(1)
VASP calculation (GGA-PBE) on a geometry-optimized Hf2PbS structure.

```
Hf2PbS
1.0
-2.7931 -2.2061 -3.3300
-4.2580 1.9795 -1.3070
-0.5176 1.9610 -4.4321
Hf S Pb
2 1 1
direct
0.2500 0.2500 0.2500 Hf
0.7500 0.7500 0.7500 Hf
0.0000 0.0000 0.0000 S
0.5000 0.5000 0.5000 Pb
```

Values from the calculation:
Relative energy among the computed polymorphs, eV per atom: 0.438

=====

(2)
VASP calculation (GGA-PBE) on a geometry-optimized SiMoRh structure.

```
SiMoRh
1.0
4.1190 0.0000 0.0000
2.0595 3.5672 0.0000
2.0595 1.1891 3.3632
Rh Si Mo
1 1 1
direct
0.7500 0.7500 0.7500 Rh
0.0000 0.0000 0.0000 Si
0.5000 0.5000 0.5000 Mo
```

Values from the calculation:
Raw total energy, eV per formula unit: -24.1

=====

(3)
VASP calculation (GGA-PBE) on a geometry-optimized V2HRh structure.

```
V2HRh
1.0
2.7212 0.0000 0.0000
1.3606 2.3566 0.0000
1.3606 0.7855 6.6811
Rh H V
1 1 2
direct
0.4990 0.4990 0.5030 Rh
0.6682 0.6682 0.9955 H
0.2729 0.2729 0.1812 V
0.0599 0.0599 0.8203 V
```

Values from the calculation:
Relative energy among the computed polymorphs, eV per atom: 0.000

=====

(4)
VASP calculation (GGA-PBE) on a geometry-optimized NbRh3Pb structure.

```
NbRh3Pb
1.0
-1.0322 -0.9499 4.6387
-4.6231 -0.8233 -1.1973
1.0228 -4.6802 -0.7309
Rh Pb Nb
3 1 1
direct
0.0000 0.5000 0.0000 Rh
0.0000 0.0000 0.5000 Rh
0.5000 0.0000 0.0000 Rh
0.0000 0.0000 0.0000 Pb
0.5000 0.5000 0.5000 Nb
```

Values from the calculation:
Energy of formation, eV per atom: 1.62
Relative energy among the computed polymorphs, eV per atom: 0.927